<A>
The following is a DFT calculation (PBE-GGA) of an optimized crystal structure of La2BSe.

mass density: 5.58 g/cm3

Unit cell a=7.391 b=7.391 c=8.009 alpha=90.00 beta=90.00 gamma=90.00
Sites, in units of the cell vectors:
La: 0.202 0.750 0.125
La: 0.250 0.202 0.875
La: 0.250 0.298 0.375
La: 0.298 0.750 0.625
La: 0.702 0.250 0.625
La: 0.750 0.702 0.375
La: 0.750 0.798 0.875
La: 0.798 0.250 0.125
B: 0.000 0.000 0.000
B: 0.000 0.500 0.250
B: 0.500 0.000 0.750
B: 0.500 0.500 0.500
Se: 0.000 0.000 0.500
Se: 0.000 0.500 0.750
Se: 0.500 0.000 0.250
Se: 0.500 0.500 0.000

***

<B>
The following is a DFT calculation (PBE-GGA) of an optimized crystal structure of La2BSe.

mass density: 6.56 g/cm3

Unit cell a=7.192 b=7.192 c=7.192 alpha=90.00 beta=90.00 gamma=90.00
Sites, in units of the cell vectors:
La: 0.250 0.250 0.250
La: 0.250 0.250 0.750
La: 0.250 0.750 0.250
La: 0.250 0.750 0.750
La: 0.750 0.250 0.250
La: 0.750 0.250 0.750
La: 0.750 0.750 0.250
La: 0.750 0.750 0.750
B: 0.000 0.000 0.000
B: 0.000 0.500 0.500
B: 0.500 0.000 0.500
B: 0.500 0.500 0.000
Se: 0.000 0.000 0.500
Se: 0.000 0.500 0.000
Se: 0.500 0.000 0.000
Se: 0.500 0.500 0.500

***

In terms of stability, <A> leads; the second structure lies 0.175 eV/atom higher.

***

<A>
The following is a DFT calculation (PBE-GGA) of an optimized crystal structure of LaSi3B.

mass density: 2.27 g/cm3

Unit cell a=5.556 b=5.556 c=5.556 alpha=90.00 beta=90.00 gamma=90.00
Sites, in units of the cell vectors:
La: 0.000 0.000 0.000
Si: 0.000 0.000 0.500
Si: 0.000 0.500 0.000
Si: 0.500 0.000 0.000
B: 0.500 0.500 0.500

***

<B>
The following is a DFT calculation (PBE-GGA) of an optimized crystal structure of LaSi3B.

mass density: 4.47 g/cm3

Unit cell a=4.430 b=4.430 c=4.430 alpha=90.00 beta=90.00 gamma=90.00
Sites, in units of the cell vectors:
La: 0.000 0.000 0.000
Si: 0.000 0.500 0.500
Si: 0.500 0.000 0.500
Si: 0.500 0.500 0.000
B: 0.500 0.500 0.500

***

In terms of stability, <B> leads; the second structure lies 1.980 eV/atom higher.

***

<A>
The following is a DFT calculation (PBE-GGA) of an optimized crystal structure of LaSiB3.

mass density: 3.04 g/cm3

Unit cell a=4.774 b=4.774 c=4.774 alpha=90.00 beta=90.00 gamma=90.00
Sites, in units of the cell vectors:
La: 0.000 0.000 0.000
Si: 0.500 0.500 0.500
B: 0.000 0.000 0.500
B: 0.000 0.500 0.000
B: 0.500 0.000 0.000

***

<B>
The following is a DFT calculation (PBE-GGA) of an optimized crystal structure of LaSiB3.

mass density: 4.82 g/cm3

Unit cell a=4.094 b=4.094 c=4.094 alpha=90.00 beta=90.00 gamma=90.00
Sites, in units of the cell vectors:
La: 0.000 0.000 0.000
Si: 0.500 0.500 0.500
B: 0.000 0.500 0.500
B: 0.500 0.000 0.500
B: 0.500 0.500 0.000

***

In terms of stability, <B> leads; the second structure lies 1.929 eV/atom higher.

***

<A>
The following is a DFT calculation (PBE-GGA) of an optimized crystal structure of LaSnB.

mass density: 6.16 g/cm3

Unit cell a=8.220 b=6.368 c=6.523 alpha=90.00 beta=122.02 gamma=90.00
Sites, in units of the cell vectors:
La: 0.248 0.000 0.327
La: 0.252 0.500 0.673
La: 0.748 0.500 0.327
La: 0.752 0.000 0.673
Sn: 0.183 0.000 0.786
Sn: 0.317 0.500 0.214
Sn: 0.683 0.500 0.786
Sn: 0.817 0.000 0.214
B: 0.010 0.500 0.139
B: 0.490 0.000 0.861
B: 0.510 0.000 0.139
B: 0.990 0.500 0.861

***

<B>
The following is a DFT calculation (PBE-GGA) of an optimized crystal structure of LaSnB.

mass density: 6.43 g/cm3

Unit cell a=3.699 b=8.519 c=8.804 alpha=90.00 beta=90.00 gamma=90.00
Sites, in units of the cell vectors:
La: 0.000 0.000 0.247
La: 0.000 0.000 0.753
La: 0.500 0.500 0.253
La: 0.500 0.500 0.747
Sn: 0.000 0.276 0.000
Sn: 0.000 0.724 0.000
Sn: 0.500 0.224 0.500
Sn: 0.500 0.776 0.500
B: 0.000 0.405 0.500
B: 0.000 0.595 0.500
B: 0.500 0.095 0.000
B: 0.500 0.905 0.000

***

In terms of stability, <B> leads; the second structure lies 0.372 eV/atom higher.

***

<A>
The following is a DFT calculation (PBE-GGA) of an optimized crystal structure of LaSnB.

mass density: 6.36 g/cm3

Unit cell a=4.161 b=4.215 c=8.128 alpha=89.43 beta=79.40 gamma=89.09
Sites, in units of the cell vectors:
La: 0.000 0.000 0.000
La: 0.118 0.025 0.498
Sn: 0.597 0.507 0.758
Sn: 0.678 0.537 0.316
B: 0.215 0.421 0.210
B: 0.476 0.499 0.043

***

<B>
The following is a DFT calculation (PBE-GGA) of an optimized crystal structure of LaSnB.

mass density: 6.22 g/cm3

Unit cell a=4.195 b=5.174 c=6.604 alpha=90.00 beta=90.00 gamma=90.00
Sites, in units of the cell vectors:
La: 0.000 0.000 0.000
La: 0.000 0.500 0.462
Sn: 0.500 0.000 0.604
Sn: 0.500 0.500 0.047
B: 0.500 0.157 0.268
B: 0.500 0.843 0.268

***

In terms of stability, <B> leads; the second structure lies 0.045 eV/atom higher.

***

<A>
The following is a DFT calculation (PBE-GGA) of an optimized crystal structure of LaSnB.

mass density: 6.59 g/cm3

Unit cell a=3.945 b=3.945 c=5.018 alpha=90.00 beta=90.00 gamma=120.00
Sites, in units of the cell vectors:
La: 0.000 0.000 0.000
Sn: 0.333 0.667 0.509
B: 0.667 0.333 0.692

***

<B>
The following is a DFT calculation (PBE-GGA) of an optimized crystal structure of LaSnB.

mass density: 5.99 g/cm3

Unit cell a=3.829 b=8.536 c=9.107 alpha=90.00 beta=90.00 gamma=90.00
Sites, in units of the cell vectors:
La: 0.000 0.230 0.000
La: 0.000 0.770 0.000
La: 0.500 0.270 0.500
La: 0.500 0.730 0.500
Sn: 0.000 0.000 0.316
Sn: 0.000 0.500 0.256
Sn: 0.500 0.000 0.756
Sn: 0.500 0.500 0.816
B: 0.000 0.500 0.493
B: 0.000 0.500 0.666
B: 0.500 0.000 0.166
B: 0.500 0.000 0.993

***

In terms of stability, <A> leads; the second structure lies 0.013 eV/atom higher.